CsPd2Se | the Alexandria database | PBE-GGA | relaxed; E_form (uncorrected) = -0.47 eV per atom
1.0
-2.769 2.284 4.256
-4.817 -1.666 -2.240
-3.284 -6.559 5.025
Cs Se Pd
2 2 4
Direct
0.000 0.000 0.000
0.750 0.250 0.500
0.500 0.500 0.000
0.250 0.750 0.500
0.375 0.125 0.250
0.375 0.625 0.250
0.375 0.625 0.750
0.875 0.625 0.750



MgPtCl2 | the Alexandria database | PBE-GGA | relaxed; E_form (uncorrected) = -0.35 eV per atom; energy above the most stable polymorph in this dataset = 511 meV/atom
1.0
-0.165 4.668 2.545
-5.245 0.884 0.020
3.895 -3.085 1.897
Cl Mg Pt
2 1 1
Direct
0.024 0.024 0.000
0.476 0.476 0.000
0.250 0.750 0.500
0.750 0.250 0.500



Question: E_form (uncorrected) of number 2 (MgPtCl2)?
Answer: -0.35 eV per atom



Question: Among the records above, which one has the lowest E_form (uncorrected)?
Answer: CsPd2Se